Version P
Computed, not measured: a relaxed structure of NaTlOsW at the PBE level of DFT.

```
data_NaTlOsW
_space_group_name_H-M_alt 'P 1'
_space_group_IT_number 1
_space_group_name_Hall 'P 1'
_cell_length_a 4.622
_cell_length_b 4.622
_cell_length_c 4.622
_cell_angle_alpha 60.00
_cell_angle_beta 60.00
_cell_angle_gamma 60.00
loop_
_atom_site_label
_atom_site_type_symbol
_atom_site_fract_x
_atom_site_fract_y
_atom_site_fract_z
Tl1 Tl 0.500 0.500 0.500
Na1 Na 0.750 0.750 0.750
Os1 Os 0.000 0.000 0.000
W1 W 0.250 0.250 0.250
```

Computed properties:
- space group = F-43m
- calculated volume (Å³/atom) = 17.45

***

Version Q
Computed, not measured: a relaxed structure of NaTlOsW at the PBE level of DFT.

```
data_NaTlOsW
_space_group_name_H-M_alt 'P 1'
_space_group_IT_number 1
_space_group_name_Hall 'P 1'
_cell_length_a 4.590
_cell_length_b 4.590
_cell_length_c 4.590
_cell_angle_alpha 60.00
_cell_angle_beta 60.00
_cell_angle_gamma 60.00
loop_
_atom_site_label
_atom_site_type_symbol
_atom_site_fract_x
_atom_site_fract_y
_atom_site_fract_z
Na1 Na 0.750 0.750 0.750
Tl1 Tl 0.500 0.500 0.500
Os1 Os 0.250 0.250 0.250
W1 W 0.000 0.000 0.000
```

Computed properties:
- space group = F-43m
- calculated volume (Å³/atom) = 17.10

***

In terms of stability, version Q leads; the second structure lies 11.8 kJ/mol of atoms higher.

***

Version P
Computed, not measured: a relaxed structure of NaPaPb at the PBE level of DFT.

```
data_NaPaPb
_space_group_name_H-M_alt 'P 1'
_space_group_IT_number 1
_space_group_name_Hall 'P 1'
_cell_length_a 5.206
_cell_length_b 5.206
_cell_length_c 5.206
_cell_angle_alpha 60.00
_cell_angle_beta 60.00
_cell_angle_gamma 60.00
loop_
_atom_site_label
_atom_site_type_symbol
_atom_site_fract_x
_atom_site_fract_y
_atom_site_fract_z
Pb1 Pb 0.000 0.000 0.000
Pa1 Pa 0.750 0.750 0.750
Na1 Na 0.250 0.250 0.250
```

Computed properties:
- space group = F-43m
- calculated volume (Å³/atom) = 33.25

***

Version Q
Computed, not measured: a relaxed structure of NaPaPb at the PBE level of DFT.

```
data_NaPaPb
_space_group_name_H-M_alt 'P 1'
_space_group_IT_number 1
_space_group_name_Hall 'P 1'
_cell_length_a 5.250
_cell_length_b 5.250
_cell_length_c 5.250
_cell_angle_alpha 60.00
_cell_angle_beta 60.00
_cell_angle_gamma 60.00
loop_
_atom_site_label
_atom_site_type_symbol
_atom_site_fract_x
_atom_site_fract_y
_atom_site_fract_z
Pb1 Pb 0.750 0.750 0.750
Na1 Na 0.250 0.250 0.250
Pa1 Pa 0.000 0.000 0.000
```

Computed properties:
- space group = F-43m
- calculated volume (Å³/atom) = 34.11

***

In terms of stability, version P leads; the second structure lies 26.4 kJ/mol of atoms higher.

***

Version P
Computed, not measured: a relaxed structure of NaScPa at the PBE level of DFT.

```
data_NaScPa
_space_group_name_H-M_alt 'P 1'
_space_group_IT_number 1
_space_group_name_Hall 'P 1'
_cell_length_a 5.087
_cell_length_b 5.087
_cell_length_c 5.087
_cell_angle_alpha 60.00
_cell_angle_beta 60.00
_cell_angle_gamma 60.00
loop_
_atom_site_label
_atom_site_type_symbol
_atom_site_fract_x
_atom_site_fract_y
_atom_site_fract_z
Pa1 Pa 0.750 0.750 0.750
Na1 Na 0.250 0.250 0.250
Sc1 Sc 0.000 0.000 0.000
```

Computed properties:
- space group = F-43m
- calculated volume (Å³/atom) = 31.04

***

Version Q
Computed, not measured: a relaxed structure of NaScPa at the PBE level of DFT.

```
data_NaScPa
_space_group_name_H-M_alt 'P 1'
_space_group_IT_number 1
_space_group_name_Hall 'P 1'
_cell_length_a 5.204
_cell_length_b 5.204
_cell_length_c 5.204
_cell_angle_alpha 60.00
_cell_angle_beta 60.00
_cell_angle_gamma 60.00
loop_
_atom_site_label
_atom_site_type_symbol
_atom_site_fract_x
_atom_site_fract_y
_atom_site_fract_z
Pa1 Pa 0.000 0.000 0.000
Sc1 Sc 0.750 0.750 0.750
Na1 Na 0.250 0.250 0.250
```

Computed properties:
- space group = F-43m
- calculated volume (Å³/atom) = 33.22

***

In terms of stability, version P leads; the second structure lies 17.4 kJ/mol of atoms higher.

***

Version P
Computed, not measured: a relaxed structure of NaPd2Pb2 at the PBE level of DFT.

```
data_NaPd2Pb2
_space_group_name_H-M_alt 'P 1'
_space_group_IT_number 1
_space_group_name_Hall 'P 1'
_cell_length_a 7.910
_cell_length_b 7.910
_cell_length_c 3.537
_cell_angle_alpha 90.00
_cell_angle_beta 90.00
_cell_angle_gamma 90.00
loop_
_atom_site_label
_atom_site_type_symbol
_atom_site_fract_x
_atom_site_fract_y
_atom_site_fract_z
Pd1 Pd 0.633 0.867 0.000
Pd2 Pd 0.367 0.133 0.000
Pd3 Pd 0.867 0.367 0.000
Pd4 Pd 0.133 0.633 0.000
Pb1 Pb 0.339 0.839 0.500
Pb2 Pb 0.839 0.661 0.500
Pb3 Pb 0.161 0.339 0.500
Pb4 Pb 0.661 0.161 0.500
Na1 Na 0.000 0.000 0.000
Na2 Na 0.500 0.500 0.000
```

Computed properties:
- space group = P4/mbm
- calculated volume (Å³/atom) = 22.13

***

Version Q
Computed, not measured: a relaxed structure of NaPd2Pb2 at the PBE level of DFT.

```
data_NaPd2Pb2
_space_group_name_H-M_alt 'P 1'
_space_group_IT_number 1
_space_group_name_Hall 'P 1'
_cell_length_a 4.555
_cell_length_b 4.555
_cell_length_c 6.890
_cell_angle_alpha 109.30
_cell_angle_beta 109.30
_cell_angle_gamma 90.00
loop_
_atom_site_label
_atom_site_type_symbol
_atom_site_fract_x
_atom_site_fract_y
_atom_site_fract_z
Pd1 Pd 0.750 0.250 0.500
Pd2 Pd 0.250 0.750 0.500
Na1 Na 0.000 0.000 0.000
Pb1 Pb 0.374 0.374 0.748
Pb2 Pb 0.626 0.626 0.252
```

Computed properties:
- space group = I4/mmm
- calculated volume (Å³/atom) = 25.27

***

In terms of stability, version P leads; the second structure lies 8.0 kJ/mol of atoms higher.

***

Version P
Computed, not measured: a relaxed structure of NaTlPtPb at the PBE level of DFT.

```
data_NaTlPtPb
_space_group_name_H-M_alt 'P 1'
_space_group_IT_number 1
_space_group_name_Hall 'P 1'
_cell_length_a 5.011
_cell_length_b 5.011
_cell_length_c 5.011
_cell_angle_alpha 60.00
_cell_angle_beta 60.00
_cell_angle_gamma 60.00
loop_
_atom_site_label
_atom_site_type_symbol
_atom_site_fract_x
_atom_site_fract_y
_atom_site_fract_z
Pb1 Pb 0.500 0.500 0.500
Tl1 Tl 0.000 0.000 0.000
Pt1 Pt 0.250 0.250 0.250
Na1 Na 0.750 0.750 0.750
```

Computed properties:
- space group = F-43m
- calculated volume (Å³/atom) = 22.25

***

Version Q
Computed, not measured: a relaxed structure of NaTlPtPb at the PBE level of DFT.

```
data_NaTlPtPb
_space_group_name_H-M_alt 'P 1'
_space_group_IT_number 1
_space_group_name_Hall 'P 1'
_cell_length_a 4.386
_cell_length_b 8.198
_cell_length_c 5.970
_cell_angle_alpha 90.00
_cell_angle_beta 111.42
_cell_angle_gamma 90.00
loop_
_atom_site_label
_atom_site_type_symbol
_atom_site_fract_x
_atom_site_fract_y
_atom_site_fract_z
Na1 Na 0.570 0.500 0.638
Na2 Na 0.434 0.000 0.369
Tl1 Tl 0.140 0.797 0.777
Tl2 Tl 0.140 0.203 0.777
Pb1 Pb 0.855 0.296 0.212
Pb2 Pb 0.855 0.704 0.212
Pt1 Pt 0.287 0.500 0.076
Pt2 Pt 0.720 0.000 0.937
```

Computed properties:
- space group = Pm
- calculated volume (Å³/atom) = 24.98

***

In terms of stability, version Q leads; the second structure lies 9.8 kJ/mol of atoms higher.

***

Version P
Computed, not measured: a relaxed structure of NaTcPb at the PBE level of DFT.

```
data_NaTcPb
_space_group_name_H-M_alt 'P 1'
_space_group_IT_number 1
_space_group_name_Hall 'P 1'
_cell_length_a 4.720
_cell_length_b 4.720
_cell_length_c 4.720
_cell_angle_alpha 60.00
_cell_angle_beta 60.00
_cell_angle_gamma 60.00
loop_
_atom_site_label
_atom_site_type_symbol
_atom_site_fract_x
_atom_site_fract_y
_atom_site_fract_z
Tc1 Tc 0.250 0.250 0.250
Na1 Na 0.000 0.000 0.000
Pb1 Pb 0.500 0.500 0.500
```

Computed properties:
- space group = F-43m
- calculated volume (Å³/atom) = 24.79

***

Version Q
Computed, not measured: a relaxed structure of NaTcPb at the PBE level of DFT.

```
data_NaTcPb
_space_group_name_H-M_alt 'P 1'
_space_group_IT_number 1
_space_group_name_Hall 'P 1'
_cell_length_a 4.731
_cell_length_b 4.731
_cell_length_c 4.731
_cell_angle_alpha 60.00
_cell_angle_beta 60.00
_cell_angle_gamma 60.00
loop_
_atom_site_label
_atom_site_type_symbol
_atom_site_fract_x
_atom_site_fract_y
_atom_site_fract_z
Pb1 Pb 0.250 0.250 0.250
Tc1 Tc 0.750 0.750 0.750
Na1 Na 0.000 0.000 0.000
```

Computed properties:
- space group = F-43m
- calculated volume (Å³/atom) = 24.96

***

In terms of stability, version P leads; the second structure lies 35.9 kJ/mol of atoms higher.

***

Version P
Computed, not measured: a relaxed structure of NaUPb at the PBE level of DFT.

```
data_NaUPb
_space_group_name_H-M_alt 'P 1'
_space_group_IT_number 1
_space_group_name_Hall 'P 1'
_cell_length_a 5.214
_cell_length_b 5.214
_cell_length_c 5.214
_cell_angle_alpha 60.00
_cell_angle_beta 60.00
_cell_angle_gamma 60.00
loop_
_atom_site_label
_atom_site_type_symbol
_atom_site_fract_x
_atom_site_fract_y
_atom_site_fract_z
U1 U 0.000 0.000 0.000
Pb1 Pb 0.250 0.250 0.250
Na1 Na 0.500 0.500 0.500
```

Computed properties:
- space group = F-43m
- calculated volume (Å³/atom) = 33.41

***

Version Q
Computed, not measured: a relaxed structure of NaUPb at the PBE level of DFT.

```
data_NaUPb
_space_group_name_H-M_alt 'P 1'
_space_group_IT_number 1
_space_group_name_Hall 'P 1'
_cell_length_a 5.237
_cell_length_b 5.237
_cell_length_c 5.237
_cell_angle_alpha 60.00
_cell_angle_beta 60.00
_cell_angle_gamma 60.00
loop_
_atom_site_label
_atom_site_type_symbol
_atom_site_fract_x
_atom_site_fract_y
_atom_site_fract_z
U1 U 0.000 0.000 0.000
Na1 Na 0.250 0.250 0.250
Pb1 Pb 0.750 0.750 0.750
```

Computed properties:
- space group = F-43m
- calculated volume (Å³/atom) = 33.85

***

In terms of stability, version P leads; the second structure lies 28.2 kJ/mol of atoms higher.